Entry from Alexandria via LeMat-Bulk: a relaxed NiIr3I crystal (PBE-GGA).

POSCAR file:
```
NiIr3I
1.0
4.830 0.000 0.000
0.000 4.830 0.000
0.000 0.000 4.830
I Ni Ir
1 1 3
direct
0.000 0.000 0.000 I
0.500 0.500 0.500 Ni
0.000 0.500 0.000 Ir
0.000 0.000 0.500 Ir
0.500 0.000 0.000 Ir
```

Output
As for the uncorrected formation energy: 2.329 eV per atom. The offset from the most stable computed form is 668 meV/atom. The value obtained for the total energy is -22.271 eV for the cell shown. The space group is No. 221. Its total moment is 2.201 μB per formula unit. The crystal system is cubic.

=====

Entry from Alexandria via LeMat-Bulk: a relaxed Ni2IrI crystal (PBE-GGA).

POSCAR file:
```
Ni2IrI
1.0
6.056 0.000 0.000
0.000 6.056 0.000
3.028 3.028 4.651
I Ni Ir
2 4 2
direct
0.500 0.500 0.000 I
0.250 0.750 0.500 I
0.653 0.125 0.250 Ni
0.097 0.625 0.250 Ni
0.375 0.347 0.750 Ni
0.875 0.903 0.750 Ni
0.000 0.000 0.000 Ir
0.750 0.250 0.500 Ir
```

Output
As for the uncorrected formation energy: 0.871 eV per atom. The offset from the most stable computed form is 102 meV/atom. The value obtained for the total energy is -36.981 eV for the cell shown. The space group is No. 122. Its total moment is 2.021 μB per formula unit. The crystal system is tetragonal.

=====

Entry from Alexandria via LeMat-Bulk: a relaxed Ni3IrI crystal (PBE-GGA).

POSCAR file:
```
Ni3IrI
1.0
4.636 0.000 0.000
0.000 4.636 0.000
0.000 0.000 4.636
I Ni Ir
1 3 1
direct
0.500 0.500 0.500 I
0.000 0.500 0.000 Ni
0.000 0.000 0.500 Ni
0.500 0.000 0.000 Ni
0.000 0.000 0.000 Ir
```

Output
As for the uncorrected formation energy: 1.116 eV per atom. The offset from the most stable computed form is 0 meV/atom. The value obtained for the total energy is -22.174 eV for the cell shown. The space group is No. 221. Its total moment is 3.389 μB per formula unit. The crystal system is cubic.